# 1
K2NaLiS2: optimized geometry, PBE-GGA.

a b c (Å): 6.418 6.321 8.480
angles (deg): 111.88 112.23 90.00
Element x y z (fractional)
1 K 0.431 0.174 0.347
2 K 0.569 0.826 0.653
3 K 0.084 0.326 0.653
4 K 0.916 0.674 0.347
5 Na 0.000 0.750 0.000
6 Na 0.000 0.250 0.000
7 Li 0.500 0.750 0.000
8 Li 0.500 0.250 0.000
9 S 0.828 0.101 0.202
10 S 0.374 0.601 0.202
11 S 0.626 0.399 0.798
12 S 0.172 0.899 0.798

For the raw formation energy, the calculation gives -1.139 eV/atom. As for the space group: Ibam (72). The density comes out at 1963 kg/m3. The value obtained for the density of states at the Fermi level is 0.0000 states/eV per atom.


# 2
K2NaLiS: optimized geometry, PBE-GGA.

a b c (Å): 6.410 6.410 4.662
angles (deg): 90.00 90.00 90.00
Element x y z (fractional)
1 Na 0.500 0.500 0.500
2 K 0.000 0.500 0.000
3 K 0.500 0.000 0.000
4 S 0.000 0.000 0.000
5 Li 0.000 0.000 0.500

For the raw formation energy, the calculation gives -0.580 eV/atom. As for the space group: P4/mmm (123). The density comes out at 1215 kg/m3. The value obtained for the density of states at the Fermi level is 0.1705 states/eV per atom. Its polymorph energy (0 for the lowest one) is 0.00 eV per formula unit.


# 3
KNaLiSe2: optimized geometry, PBE-GGA.

a b c (Å): 5.809 4.919 5.809
angles (deg): 90.00 90.00 90.00
Element x y z (fractional)
1 Na 0.500 0.500 0.500
2 K 0.000 0.000 0.000
3 Se 0.000 0.000 0.500
4 Se 0.500 0.000 0.000
5 Li 0.000 0.500 0.000

For the raw formation energy, the calculation gives -0.059 eV/atom. As for the space group: P4/mmm (123). The density comes out at 2270 kg/m3. The value obtained for the density of states at the Fermi level is 0.9937 states/eV per atom.


# 4
K2NaLiSe2: optimized geometry, PBE-GGA.

a b c (Å): 6.651 6.574 8.841
angles (deg): 111.83 112.10 90.00
Element x y z (fractional)
1 K 0.426 0.173 0.346
2 K 0.574 0.827 0.654
3 K 0.081 0.327 0.654
4 K 0.919 0.673 0.346
5 Na 0.000 0.750 0.000
6 Na 0.000 0.250 0.000
7 Li 0.500 0.750 0.000
8 Li 0.500 0.250 0.000
9 Se 0.831 0.103 0.206
10 Se 0.375 0.603 0.206
11 Se 0.625 0.397 0.794
12 Se 0.169 0.897 0.794

For the raw formation energy, the calculation gives -1.149 eV/atom. As for the space group: Ibam (72). The density comes out at 2693 kg/m3. The value obtained for the density of states at the Fermi level is 0.0000 states/eV per atom.


# 5
KNaLi2Si: optimized geometry, PBE-GGA.

a b c (Å): 5.104 5.104 5.594
angles (deg): 90.00 90.00 90.00
Element x y z (fractional)
1 Na 0.000 0.000 0.500
2 K 0.500 0.500 0.500
3 Si 0.000 0.000 0.000
4 Li 0.000 0.500 0.000
5 Li 0.500 0.000 0.000

For the raw formation energy, the calculation gives 0.006 eV/atom. As for the space group: P4/mmm (123). The density comes out at 1186 kg/m3. The value obtained for the density of states at the Fermi level is 0.0728 states/eV per atom.


# 6
KNa2LiSi: optimized geometry, PBE-GGA.

a b c (Å): 5.696 5.696 5.135
angles (deg): 90.00 90.00 90.00
Element x y z (fractional)
1 Na 0.000 0.500 0.000
2 Na 0.500 0.000 0.000
3 K 0.500 0.500 0.500
4 Si 0.000 0.000 0.000
5 Li 0.000 0.000 0.500

For the raw formation energy, the calculation gives 0.071 eV/atom. As for the space group: P4/mmm (123). The density comes out at 1197 kg/m3. The value obtained for the density of states at the Fermi level is 0.2149 states/eV per atom.


# 7
KNa2LiSn: optimized geometry, PBE-GGA.

a b c (Å): 5.691 5.691 5.161
angles (deg): 90.00 90.00 90.00
Element x y z (fractional)
1 Na 0.000 0.500 0.000
2 Na 0.500 0.000 0.000
3 K 0.500 0.500 0.500
4 Sn 0.000 0.000 0.500
5 Li 0.000 0.000 0.000

As for the space group: P4/mmm (123). The density comes out at 2093 kg/m3. The value obtained for the density of states at the Fermi level is 0.3619 states/eV per atom. Its polymorph energy (0 for the lowest one) is 0.27 eV per formula unit.


# 8
KNaLiSn: optimized geometry, PBE-GGA.

a b c (Å): 5.448 5.448 5.448
angles (deg): 60.00 60.00 60.00
Element x y z (fractional)
1 Na 0.500 0.500 0.500
2 K 0.250 0.250 0.250
3 Sn 0.750 0.750 0.750
4 Li 0.000 0.000 0.000

As for the space group: F-43m (216). The density comes out at 2726 kg/m3. The value obtained for the density of states at the Fermi level is 1.0526 states/eV per atom. Its energy is -8.80 eV for the cell shown.


> Which of these has the highest density?

KNaLiSn


> density of number 1 (K2NaLiS2)?

1963 kg/m3


Please write out number 8 again, unchanged.
KNaLiSn: optimized geometry, PBE-GGA.

a b c (Å): 5.448 5.448 5.448
angles (deg): 60.00 60.00 60.00
Element x y z (fractional)
1 Na 0.500 0.500 0.500
2 K 0.250 0.250 0.250
3 Sn 0.750 0.750 0.750
4 Li 0.000 0.000 0.000

As for the space group: F-43m (216). The density comes out at 2726 kg/m3. The value obtained for the density of states at the Fermi level is 1.0526 states/eV per atom. Its energy is -8.80 eV for the cell shown.